DFT (PBE) results for crystalline PmMgNO at its relaxed geometry.

The raw total energy is -6.7262 eV per atom. The space group is No. 129.

```
PmMgNO
1.0
-2.610 1.567 3.826
-3.619 -3.054 -1.218
1.897 -3.304 2.647
Mg N O Pm
2 2 2 2
direct
0.500 0.000 0.002 Mg
0.000 0.500 0.998 Mg
0.500 0.000 0.496 N
0.000 0.500 0.504 N
0.000 0.000 0.000 O
0.500 0.500 0.000 O
0.000 0.000 0.500 Pm
0.500 0.500 0.500 Pm
```



DFT (PBE) results for crystalline PmMgNO at its relaxed geometry.

The raw total energy is -6.8321 eV per atom. The space group is No. 26.

```
PmMgNO
1.0
-1.951 -3.380 0.000
0.000 0.000 5.211
-5.281 3.049 0.000
Mg N O Pm
2 2 2 2
direct
0.500 0.986 0.177 Mg
0.500 0.486 0.823 Mg
0.000 0.930 0.316 N
0.000 0.430 0.684 N
0.500 0.371 0.135 O
0.500 0.871 0.865 O
0.000 0.467 0.303 Pm
0.000 0.967 0.697 Pm
```



DFT (PBE) results for crystalline PrMgNO at its relaxed geometry.

The raw total energy is -6.6025 eV per atom. The space group is No. 129.

```
PrMgNO
1.0
-3.003 3.025 2.534
-3.816 -3.036 -0.897
0.960 -2.383 3.982
Mg N O Pr
2 2 2 2
direct
0.750 0.750 0.012 Mg
0.250 0.250 0.988 Mg
0.750 0.750 0.474 N
0.250 0.250 0.526 N
0.750 0.250 0.000 O
0.250 0.750 0.000 O
0.750 0.250 0.500 Pr
0.250 0.750 0.500 Pr
```



DFT (PBE) results for crystalline PrMgNO at its relaxed geometry.

The raw total energy is -6.7648 eV per atom. The space group is No. 26.

```
PrMgNO
1.0
2.043 0.721 -3.284
4.087 1.789 2.936
2.321 -5.641 0.206
Mg N O Pr
2 2 2 2
direct
0.500 0.989 0.178 Mg
0.500 0.489 0.822 Mg
0.000 0.933 0.315 N
0.000 0.433 0.685 N
0.500 0.361 0.128 O
0.500 0.861 0.872 O
0.000 0.471 0.299 Pr
0.000 0.971 0.701 Pr
```



DFT (PBE) results for crystalline PrMgNO at its relaxed geometry.

The raw total energy is -6.8198 eV per atom. The space group is No. 29.

```
PrMgNO
1.0
5.869 0.000 0.000
0.000 7.852 0.000
0.000 0.000 5.322
Mg N O Pr
4 4 4 4
direct
0.571 0.396 0.002 Mg
0.071 0.604 0.002 Mg
0.929 0.396 0.502 Mg
0.429 0.604 0.502 Mg
0.447 0.147 0.047 N
0.947 0.853 0.047 N
0.053 0.147 0.547 N
0.553 0.853 0.547 N
0.884 0.419 0.135 O
0.384 0.581 0.135 O
0.616 0.419 0.635 O
0.116 0.581 0.635 O
0.041 0.151 0.018 Pr
0.541 0.849 0.018 Pr
0.459 0.151 0.518 Pr
0.959 0.849 0.518 Pr
```



DFT (PBE) results for crystalline PrMgNO at its relaxed geometry.

The raw total energy is -6.6088 eV per atom. The space group is No. 29.

```
PrMgNO
1.0
6.259 0.000 0.000
0.000 7.091 0.000
0.000 0.000 5.831
Mg N O Pr
4 4 4 4
direct
0.415 0.108 0.500 Mg
0.915 0.892 0.500 Mg
0.085 0.108 0.000 Mg
0.585 0.892 0.000 Mg
0.387 0.098 0.148 N
0.887 0.902 0.148 N
0.113 0.098 0.648 N
0.613 0.902 0.648 N
0.929 0.365 0.073 O
0.429 0.635 0.073 O
0.571 0.365 0.573 O
0.071 0.635 0.573 O
0.937 0.333 0.481 Pr
0.437 0.667 0.481 Pr
0.563 0.333 0.981 Pr
0.063 0.667 0.981 Pr
```



DFT (PBE) results for crystalline PrMgNO at its relaxed geometry.

The raw total energy is -6.7443 eV per atom. The space group is No. 26.

```
PrMgNO
1.0
-1.416 2.909 -1.308
0.554 -2.111 -5.295
-5.399 -2.445 0.409
Mg N O Pr
2 2 2 2
direct
0.000 0.748 0.493 Mg
0.000 0.252 0.993 Mg
0.000 0.541 0.211 N
0.000 0.459 0.711 N
0.500 0.102 0.071 O
0.500 0.898 0.571 O
0.500 0.298 0.471 Pr
0.500 0.702 0.971 Pr
```



DFT (PBE) results for crystalline PrMgNO at its relaxed geometry.

The raw total energy is -6.6010 eV per atom. The space group is No. 129.

```
PrMgNO
1.0
2.727 -2.727 0.000
2.727 2.727 0.000
0.000 0.000 8.048
Mg N O Pr
2 2 2 2
direct
0.750 0.250 0.500 Mg
0.250 0.750 0.500 Mg
0.750 0.750 0.385 N
0.250 0.250 0.615 N
0.750 0.250 0.000 O
0.250 0.750 0.000 O
0.250 0.250 0.159 Pr
0.750 0.750 0.841 Pr
```



no.,E above lowest polymorph (meV per atom)
1,151
2,45
3,217
4,55
5,0
6,211
7,76
8,219